First-principles (PBE) data for a relaxed structure of CuS2O8, as listed in Alexandria via LeMat-Bulk.

- N(E_F) (states/eV/f.u.) = 5.3
- final energy (eV per atom) = -5.6225

a b c (Å): 5.984 5.984 4.962
angles (deg): 90.09 90.09 88.27
Sites, in units of the cell vectors:
1 Cu 0.000 0.000 0.000
2 S 0.223 0.223 0.335
3 S 0.777 0.777 0.665
4 O 0.007 0.732 0.802
5 O 0.199 0.199 0.626
6 O 0.268 0.993 0.198
7 O 0.385 0.385 0.262
8 O 0.615 0.615 0.738
9 O 0.732 0.007 0.802
10 O 0.801 0.801 0.374
11 O 0.993 0.268 0.198